1.
# Na2NbPd2 (PBE, relaxed)
# * volume: 185 Å³/cell
# * electronic total energy: -39.2 eV for the cell shown
# * relative energy among the computed polymorphs: 393.0 meV per atom
# * DFT formation energy: 3.5 eV/f.u.
data_Na2NbPd2
_cell_length_a 4.746
_cell_length_b 4.746
_cell_length_c 8.227
_cell_angle_alpha 90.00
_cell_angle_beta 90.00
_cell_angle_gamma 90.00
_symmetry_space_group_name_H-M 'I 4/m m m'
_symmetry_Int_Tables_number 139
_symmetry_space_group_name_Hall '-I 4 2'
loop_
_atom_site_label
_atom_site_type_symbol
_atom_site_fract_x
_atom_site_fract_y
_atom_site_fract_z
Na1 Na 0.000 0.000 0.129
Nb1 Nb 0.000 0.000 0.500
Pd1 Pd 0.000 0.500 0.250

---

2.
# MgTiAsBr2 (PBE, relaxed)
# * volume: 131 Å³/cell
# * electronic total energy: -19.3 eV for the cell shown
# * relative energy among the computed polymorphs: 0.0 meV per atom
# * energy relative to the elements, uncorrected: -8.442 kcal/mol of atoms
data_MgTiAsBr2
_cell_length_a 5.004
_cell_length_b 5.004
_cell_length_c 5.213
_cell_angle_alpha 90.00
_cell_angle_beta 90.00
_cell_angle_gamma 90.00
_symmetry_space_group_name_H-M 'P 4/m m m'
_symmetry_Int_Tables_number 123
_symmetry_space_group_name_Hall '-P 4 2'
loop_
_atom_site_label
_atom_site_type_symbol
_atom_site_fract_x
_atom_site_fract_y
_atom_site_fract_z
Mg1 Mg 0.000 0.000 0.000
Ti1 Ti 0.500 0.500 0.500
As1 As 0.500 0.500 0.000
Br1 Br 0.000 0.500 0.500